Entry 1:
Below is a relaxed structure of YHoFeCu, with properties calculated at the PBE level.

Total magnetization in μB per atom: 0.000
Electronic total energy in eV per cell: -23.7
ΔE_f in eV per atom: -0.01

Cell lengths 4.7910, 4.7910, 4.7910 Å; angles 60.00, 60.00, 60.00 degrees
Fractional coordinates of all 4 atoms:
Y: 0.0000 0.0000 0.0000
Ho: 0.5000 0.5000 0.5000
Fe: 0.2500 0.2500 0.2500
Cu: 0.7500 0.7500 0.7500

Entry 2:
Below is a relaxed structure of Ba4Ga3P, with properties calculated at the PBE level.

Total magnetization in μB per atom: 0.000
Electronic total energy in eV per cell: -26.2
ΔE_f in eV per atom: -0.51

Cell lengths 4.4094, 4.9813, 12.4877 Å; angles 90.00, 90.00, 90.00 degrees
Fractional coordinates of all 8 atoms:
Ba: 0.0000 0.0000 0.0000
Ba: 0.0000 0.5000 0.4781
Ba: 0.5000 0.0000 0.7048
Ba: 0.5000 0.5000 0.2130
Ga: 0.0000 0.5000 0.7951
Ga: 0.5000 0.0000 0.4053
Ga: 0.5000 0.5000 0.9100
P: 0.0000 0.0000 0.2841

Entry 3:
Below is a relaxed structure of RbHg2Pd, with properties calculated at the PBE level.

Total magnetization in μB per atom: 0.000
Energy above the most stable polymorph in this dataset in eV/atom: 0.119
Electronic total energy in eV per cell: -7.1
ΔE_f in eV per atom: -0.08

Cell lengths 3.6569, 3.6569, 8.0346 Å; angles 90.00, 90.00, 90.00 degrees
Fractional coordinates of all 4 atoms:
Rb: 0.0000 0.0000 0.0000
Hg: 0.5000 0.5000 0.3173
Hg: 0.5000 0.5000 0.6827
Pd: 0.0000 0.0000 0.5000

Entry 4:
Below is a relaxed structure of BaIr2F, with properties calculated at the PBE level.

Raw formation energy in eV per atom: 0.9826
Total magnetization in μB per atom: 0.329
Energy above the most stable polymorph in this dataset in eV/atom: 0.967
Electronic total energy in eV per cell: -17.6

Cell lengths 4.7996, 4.7996, 4.7996 Å; angles 60.00, 60.00, 60.00 degrees
Fractional coordinates of all 4 atoms:
Ba: 0.0000 0.0000 0.0000
Ir: 0.2500 0.2500 0.2500
Ir: 0.7500 0.7500 0.7500
F: 0.5000 0.5000 0.5000

Entry 5:
Below is a relaxed structure of BeNi6H4, with properties calculated at the PBE level.

Total magnetization in μB per atom: 0.000
Electronic total energy in eV per cell: -105.7

Cell lengths 4.6537, 4.6537, 13.7671 Å; angles 90.00, 90.00, 147.27 degrees
Fractional coordinates of all 22 atoms:
Be: 0.1698 0.8302 0.7500
Be: 0.8302 0.1698 0.2500
Ni: 0.0000 0.0000 0.0000
Ni: 0.0000 0.0000 0.5000
Ni: 0.1379 0.8621 0.2500
Ni: 0.2723 0.7277 0.5879
Ni: 0.2723 0.7277 0.9121
Ni: 0.4526 0.5474 0.1535
Ni: 0.4526 0.5474 0.3465
Ni: 0.5474 0.4526 0.6535
Ni: 0.5474 0.4526 0.8465
Ni: 0.7277 0.2723 0.0879
Ni: 0.7277 0.2723 0.4121
Ni: 0.8621 0.1379 0.7500
H: 0.0943 0.9057 0.1202
H: 0.0943 0.9057 0.3798
H: 0.3603 0.6397 0.0407
H: 0.3603 0.6397 0.4593
H: 0.6397 0.3603 0.5407
H: 0.6397 0.3603 0.9593
H: 0.9057 0.0943 0.6202
H: 0.9057 0.0943 0.8798

Entry 6:
Below is a relaxed structure of TeIrSe, with properties calculated at the PBE level.

Raw formation energy in eV per atom: -0.2375
Total magnetization in μB per atom: 0.000
Energy above the most stable polymorph in this dataset in eV/atom: 0.000
Electronic total energy in eV per cell: -16.2

Cell lengths 3.8539, 3.8539, 5.3242 Å; angles 90.00, 90.00, 120.00 degrees
Fractional coordinates of all 3 atoms:
Te: 0.0000 0.0000 0.0000
Ir: 0.3333 0.6667 0.2701
Se: 0.6667 0.3333 0.5028